1.
# BaCa2FePb | the Alexandria database | GGA-PBE | optimized geometry
# ΔH_f (0 K)	1.1249	eV per atom
# E	-2.494	eV/atom
data_BaCa2FePb
_chemical_formula_sum 'Ba1 Ca2 Fe1 Pb1'
_cell_length_a 6.0691
_cell_length_b 6.0691
_cell_length_c 4.6455
_cell_angle_alpha 90.00
_cell_angle_beta 90.00
_cell_angle_gamma 90.00
_symmetry_space_group_name_H-M 'P 4/m m m'
_symmetry_Int_Tables_number 123
_symmetry_space_group_name_Hall '-P 4 2'
loop_
_atom_site_label
_atom_site_type_symbol
_atom_site_fract_x
_atom_site_fract_y
_atom_site_fract_z
Ba1 Ba 0.0000 0.0000 0.0000
Ca1 Ca 0.0000 0.5000 0.0000
Fe1 Fe 0.0000 0.0000 0.5000
Pb1 Pb 0.5000 0.5000 0.5000

---

2.
# BaCaFePd2 | the Alexandria database | GGA-PBE | optimized geometry
# ΔH_f (0 K)	0.5090	eV per atom
# E	-4.046	eV/atom
data_BaCaFePd2
_chemical_formula_sum 'Ba1 Ca1 Fe1 Pd2'
_cell_length_a 5.2198
_cell_length_b 5.2198
_cell_length_c 5.1601
_cell_angle_alpha 90.00
_cell_angle_beta 90.00
_cell_angle_gamma 90.00
_symmetry_space_group_name_H-M 'P 4/m m m'
_symmetry_Int_Tables_number 123
_symmetry_space_group_name_Hall '-P 4 2'
loop_
_atom_site_label
_atom_site_type_symbol
_atom_site_fract_x
_atom_site_fract_y
_atom_site_fract_z
Ba1 Ba 0.0000 0.0000 0.0000
Ca1 Ca 0.5000 0.5000 0.5000
Fe1 Fe 0.5000 0.5000 0.0000
Pd1 Pd 0.0000 0.5000 0.5000

---

3.
# BaCaFe2S | the Alexandria database | GGA-PBE | optimized geometry
# ΔE_f (raw)	0.9	eV/f.u.
# E	-4.806	eV/atom
data_BaCaFe2S
_chemical_formula_sum 'Ba1 Ca1 Fe2 S1'
_cell_length_a 4.4996
_cell_length_b 4.4996
_cell_length_c 5.3062
_cell_angle_alpha 90.00
_cell_angle_beta 90.00
_cell_angle_gamma 90.00
_symmetry_space_group_name_H-M 'P 4/m m m'
_symmetry_Int_Tables_number 123
_symmetry_space_group_name_Hall '-P 4 2'
loop_
_atom_site_label
_atom_site_type_symbol
_atom_site_fract_x
_atom_site_fract_y
_atom_site_fract_z
Ba1 Ba 0.0000 0.0000 0.0000
Ca1 Ca 0.5000 0.5000 0.0000
Fe1 Fe 0.0000 0.5000 0.5000
S1 S 0.5000 0.5000 0.5000

---

4.
# BaCaFeTc2 | the Alexandria database | GGA-PBE | optimized geometry
# ΔH_f (0 K)	1.0385	eV per atom
# E	-5.585	eV/atom
data_BaCaFeTc2
_chemical_formula_sum 'Ba1 Ca1 Fe1 Tc2'
_cell_length_a 4.6246
_cell_length_b 4.6246
_cell_length_c 5.4179
_cell_angle_alpha 90.00
_cell_angle_beta 90.00
_cell_angle_gamma 90.00
_symmetry_space_group_name_H-M 'P 4/m m m'
_symmetry_Int_Tables_number 123
_symmetry_space_group_name_Hall '-P 4 2'
loop_
_atom_site_label
_atom_site_type_symbol
_atom_site_fract_x
_atom_site_fract_y
_atom_site_fract_z
Ba1 Ba 0.0000 0.0000 0.0000
Ca1 Ca 0.5000 0.5000 0.0000
Fe1 Fe 0.0000 0.0000 0.5000
Tc1 Tc 0.0000 0.5000 0.5000

---

> What is the E in the third record?

-4.806 eV/atom

---

> Look up the E of the fourth one.

-5.585 eV/atom